Run w
Here is a relaxed structure of InSBr2 from Alexandria. Energies are from PBE.

V = 37.55 Å³ per atom
Magnetization = 0.00 μB/cell

Lattice parameters (Å, degrees): 7.3498 7.4342 7.5208 63.24 60.86 60.58
Last column: nearest neighbours and their distance in Å.
Positions (direct):
In (0.0000, 0.0000, 0.0000)  1 S 2.47, 2 Br 2.61-2.64
In (0.2106, 0.2015, 0.3771)  1 S 2.47, 2 Br 2.60-2.64
S (0.0016, 0.4676, 0.1341)  1 S 2.04
S (0.8143, 0.7333, 0.2430)  1 S 2.04
Br (0.2262, 0.8228, 0.6586)  2 In 2.64-2.80
Br (0.3329, 0.9618, 0.0702)  1 In 2.61
Br (0.5752, 0.2405, 0.3063)  1 In 2.60
Br (0.9196, 0.3788, 0.7185)  2 In 2.64-2.80

Run x
Here is a relaxed structure of InSBr2 from Alexandria. Energies are from PBE.

V = 41.43 Å³ per atom
Magnetization = 1.00 μB/cell

Lattice parameters (Å, degrees): 8.6698 8.6698 8.6698 32.33 32.33 32.33
Last column: nearest neighbours and their distance in Å.
Positions (direct):
In (0.0000, 0.0000, 0.0000)  6 Br 3.25
S (0.5000, 0.5000, 0.5000)  2 Br 2.44
Br (0.4010, 0.4010, 0.4010)  1 S 2.44
Br (0.5990, 0.5990, 0.5990)  1 S 2.44

Run y
Here is a relaxed structure of InSBr2 from Alexandria. Energies are from PBE.

V = 32.69 Å³ per atom
Magnetization = 0.00 μB/cell

Lattice parameters (Å, degrees): 4.0370 5.5406 6.1226 76.66 89.13 79.07
Last column: nearest neighbours and their distance in Å.
Positions (direct):
In (0.0000, 0.0000, 0.0000)  2 S 2.46-2.50, 2 Br 2.59
S (0.5748, 0.7311, 0.0225)  2 In 2.46-2.50
Br (0.1866, 0.1021, 0.3668)  1 In 2.59
Br (0.8516, 0.4260, 0.7045)  1 In 2.59

Which one sits at the bottom of the stability order? run x does.

Run w
Here is a relaxed structure of InSBr2 from Alexandria. Energies are from PBE.

V = 35.15 Å³ per atom
Magnetization = 0.00 μB/cell

Lattice parameters (Å, degrees): 5.1151 7.0807 8.0557 80.25 78.44 84.77
Last column: nearest neighbours and their distance in Å.
Positions (direct):
In (0.0367, 0.2496, 0.4038)  3 Br 2.51-2.80, 2 S 2.59-2.76
In (0.9633, 0.7504, 0.5962)  3 Br 2.51-2.80, 2 S 2.59-2.76
S (0.3258, 0.0184, 0.5898)  1 S 2.09
S (0.6742, 0.9816, 0.4102)  1 S 2.09
Br (0.1889, 0.2130, 0.0939)  1 In 2.51
Br (0.2747, 0.6023, 0.3383)  2 In 2.66-2.80
Br (0.7253, 0.3977, 0.6617)  2 In 2.66-2.80
Br (0.8111, 0.7870, 0.9061)  1 In 2.51

Run x
Here is a relaxed structure of InSBr2 from Alexandria. Energies are from PBE.

V = 39.37 Å³ per atom
Magnetization = 0.00 μB/cell

Lattice parameters (Å, degrees): 6.9665 7.1014 7.7807 91.90 114.62 112.39
Last column: nearest neighbours and their distance in Å.
Positions (direct):
In (0.0000, 0.0000, 0.0000)  4 Br 3.14-3.34, 1 S 3.39
In (0.2901, 0.6624, 0.7888)  1 S 2.53, 3 Br 2.55-2.59
S (0.0462, 0.9273, 0.4413)  1 S 1.99
S (0.9578, 0.6330, 0.4677)  1 S 1.99
Br (0.1848, 0.5165, 0.0508)  1 In 2.56
Br (0.5552, 0.0568, 0.9475)  1 In 2.59
Br (0.5718, 0.5449, 0.7407)  1 In 2.55
Br (0.8599, 0.0741, 0.5505)  1 S 2.32

Which one sits at the bottom of the stability order? run x does.